1.
# NbF3

Crystalline NbF3 at its relaxed geometry (PBE, Alexandria).

a = 4.1913 Å, b = 4.1913 Å, c = 4.1913 Å
α = 89.71°, β = 89.71°, γ = 89.71°
With the nearest neighbours (Å) after each atom.
Positions (direct):
F 0.5000 0.0002 0.9998  2 Nb 2.10
F 0.0002 0.9998 0.5000  2 Nb 2.10
F 0.9998 0.5000 0.0002  2 Nb 2.10
Nb 0.0000 0.0000 0.0000  6 F 2.10

Properties
E_tot ... -6.552 eV per atom
Space-group type ... No. 166
Uncorrected formation energy ... -2631 meV/atom

---

2.
# Nb4F

Crystalline Nb4F at its relaxed geometry (PBE, Alexandria).

a = 4.3742 Å, b = 4.3742 Å, c = 4.3742 Å
α = 90.00°, β = 90.00°, γ = 90.00°
With the nearest neighbours (Å) after each atom.
Positions (direct):
Nb 0.0000 0.0000 0.0000  12 Nb 3.09
Nb 0.5000 0.5000 0.0000  2 F 2.19
Nb 0.0000 0.5000 0.5000  2 F 2.19
Nb 0.5000 0.0000 0.5000  2 F 2.19
F 0.5000 0.5000 0.5000  6 Nb 2.19

Properties
E_tot ... -8.389 eV per atom
Space-group type ... No. 221
Uncorrected formation energy ... 41 meV/atom

---

3.
# Nb2F5

Crystalline Nb2F5 at its relaxed geometry (PBE, Alexandria).

a = 7.2314 Å, b = 7.2314 Å, c = 7.2314 Å
α = 109.47°, β = 109.47°, γ = 109.47°
With the nearest neighbours (Å) after each atom.
Positions (direct):
F 0.2503 0.7497 0.0000  2 Nb 2.09
F 0.7497 0.0000 0.2503  2 Nb 2.09
F 0.5005 0.2503 0.2503  2 Nb 2.09
F 0.2503 0.2503 0.5005  2 Nb 2.09
F 0.0000 0.7497 0.2503  2 Nb 2.09
F 0.0000 0.2503 0.7497  2 Nb 2.09
F 0.0000 0.5000 0.5000  2 Nb 2.18
F 0.7497 0.2503 0.0000  2 Nb 2.09
F 0.4995 0.7497 0.7497  2 Nb 2.09
F 0.7497 0.7497 0.4995  2 Nb 2.09
F 0.7497 0.4995 0.7497  2 Nb 2.09
F 0.5000 0.0000 0.5000  2 Nb 2.18
F 0.2503 0.0000 0.7497  2 Nb 2.09
F 0.5000 0.5000 0.0000  2 Nb 2.18
F 0.2503 0.5005 0.2503  2 Nb 2.09
Nb 0.2395 0.0000 0.2395  5 F 2.09-2.18
Nb 0.7605 0.7605 0.0000  5 F 2.09-2.18
Nb 0.0000 0.2395 0.2395  5 F 2.09-2.18
Nb 0.0000 0.7605 0.7605  5 F 2.09-2.18
Nb 0.7605 0.0000 0.7605  5 F 2.09-2.18
Nb 0.2395 0.2395 0.0000  5 F 2.09-2.18

Properties
E_tot ... -6.921 eV per atom
Space-group type ... No. 229
Uncorrected formation energy ... -2707 meV/atom

---

4.
# NbF3

Crystalline NbF3 at its relaxed geometry (PBE, Alexandria).

a = 3.6209 Å, b = 3.6209 Å, c = 7.6774 Å
α = 76.36°, β = 76.36°, γ = 90.00°
With the nearest neighbours (Å) after each atom.
Positions (direct):
F 0.0604 0.6250 0.2500  2 Nb 2.13, 4 F 2.25-2.32
F 0.8750 0.9396 0.7500  2 Nb 2.13, 4 F 2.25-2.32
F 0.5000 0.5000 0.0000  4 F 2.32, 4 Nb 2.56
F 0.2500 0.7500 0.5000  4 F 2.32, 4 Nb 2.56
F 0.3750 0.3104 0.7500  2 Nb 2.13, 4 F 2.25-2.32
F 0.6896 0.1250 0.2500  2 Nb 2.13, 4 F 2.25-2.32
Nb 0.7500 0.2500 0.5000  4 F 2.13
Nb 0.0000 0.0000 0.0000  4 F 2.13

Properties
E_tot ... -5.833 eV per atom
Space-group type ... No. 122
Uncorrected formation energy ... -1912 meV/atom

---

5.
# NbF3

Crystalline NbF3 at its relaxed geometry (PBE, Alexandria).

a = 8.4546 Å, b = 8.4546 Å, c = 8.4546 Å
α = 21.03°, β = 21.03°, γ = 21.03°
With the nearest neighbours (Å) after each atom.
Positions (direct):
F 0.5000 0.5000 0.5000  12 F 2.88-3.09
F 0.9247 0.9247 0.9247  1 Nb 1.87
F 0.0753 0.0753 0.0753  1 Nb 1.87
Nb 0.0000 0.0000 0.0000  2 F 1.87

Properties
E_tot ... -5.068 eV per atom
Space-group type ... No. 166
Uncorrected formation energy ... -1147 meV/atom

---

6.
# NbF3

Crystalline NbF3 at its relaxed geometry (PBE, Alexandria).

a = 8.3994 Å, b = 8.3994 Å, c = 8.3994 Å
α = 19.53°, β = 19.53°, γ = 19.53°
With the nearest neighbours (Å) after each atom.
Positions (direct):
F 0.1075 0.1075 0.1075  3 Nb 2.20
F 0.0000 0.0000 0.0000  8 F 2.66-2.85
F 0.8925 0.8925 0.8925  3 Nb 2.20
Nb 0.5000 0.5000 0.5000  6 F 2.20

Properties
E_tot ... -5.450 eV per atom
Space-group type ... No. 166
Uncorrected formation energy ... -1529 meV/atom

---

7.
# NdNbO4F

Crystalline NdNbO4F at its relaxed geometry (PBE, Alexandria).

a = 6.2502 Å, b = 6.2502 Å, c = 6.9350 Å
α = 81.33°, β = 81.33°, γ = 73.82°
With the nearest neighbours (Å) after each atom.
Positions (direct):
F 0.0128 0.0128 0.1869  2 Nd 2.33-2.34
F 0.9872 0.9872 0.8131  2 Nd 2.33-2.34
O 0.5655 0.5655 0.2427  1 Nb 1.88, 1 O 2.04
O 0.4941 0.1231 0.1571  1 Nb 1.86
O 0.4345 0.4345 0.7573  1 Nb 1.88, 1 O 2.04
O 0.1231 0.4941 0.1571  1 Nb 1.86
O 0.3035 0.3035 0.5643  1 Nb 1.89, 1 O 2.04
O 0.5059 0.8769 0.8429  1 Nb 1.86
O 0.8769 0.5059 0.8429  1 Nb 1.86
O 0.6965 0.6965 0.4357  1 Nb 1.89, 1 O 2.04
Nb 0.3737 0.3737 0.2915  4 O 1.86-1.89
Nb 0.6263 0.6263 0.7085  4 O 1.86-1.89
Nd 0.8055 0.8055 0.0800  2 F 2.33-2.34, 6 O 2.42-2.58
Nd 0.1945 0.1945 0.9200  2 F 2.33-2.34, 6 O 2.42-2.58

Properties
E_tot ... -7.934 eV per atom
Space-group type ... No. 12
Uncorrected formation energy ... -2713 meV/atom